# 1
# GGA-PBE TbZr2BeN4, optimized geometry
data_TbZr2BeN4
_space_group_name_H-M_alt 'P 1'
_space_group_IT_number 1
_space_group_name_Hall 'P 1'
_cell_length_a 5.627
_cell_length_b 5.627
_cell_length_c 10.844
_cell_angle_alpha 90.00
_cell_angle_beta 90.00
_cell_angle_gamma 146.65
loop_
_atom_site_label
_atom_site_fract_x
_atom_site_fract_y
_atom_site_fract_z
Tb1 0.104 0.896 0.750
Tb2 0.896 0.104 0.250
Zr1 0.370 0.630 0.552
Zr2 0.370 0.630 0.948
Zr3 0.630 0.370 0.052
Zr4 0.630 0.370 0.448
Be1 0.173 0.827 0.250
Be2 0.827 0.173 0.750
N1 0.000 0.000 0.000
N2 0.000 0.000 0.500
N3 0.270 0.730 0.125
N4 0.270 0.730 0.375
N5 0.425 0.575 0.750
N6 0.575 0.425 0.250
N7 0.730 0.270 0.625
N8 0.730 0.270 0.875
# Raw total energy = -8.871 eV/atom
# Mass density = 7.2 Mg/m³

---

# 2
# GGA-PBE TbZrBeN3, optimized geometry
data_TbZrBeN3
_space_group_name_H-M_alt 'P 1'
_space_group_IT_number 1
_space_group_name_Hall 'P 1'
_cell_length_a 6.768
_cell_length_b 3.219
_cell_length_c 6.852
_cell_angle_alpha 90.00
_cell_angle_beta 101.44
_cell_angle_gamma 90.00
loop_
_atom_site_label
_atom_site_fract_x
_atom_site_fract_y
_atom_site_fract_z
Tb1 0.216 0.250 0.178
Tb2 0.784 0.750 0.822
Zr1 0.176 0.250 0.657
Zr2 0.824 0.750 0.343
Be1 0.403 0.750 0.920
Be2 0.597 0.250 0.080
N1 0.146 0.750 0.879
N2 0.165 0.750 0.427
N3 0.490 0.250 0.833
N4 0.510 0.750 0.167
N5 0.835 0.250 0.573
N6 0.854 0.250 0.121
# Raw total energy = -8.395 eV/atom
# Mass density = 6.8 Mg/m³

---

# 3
# GGA-PBE Be3TcN, optimized geometry
data_Be3TcN
_space_group_name_H-M_alt 'P 1'
_space_group_IT_number 1
_space_group_name_Hall 'P 1'
_cell_length_a 3.551
_cell_length_b 3.551
_cell_length_c 3.551
_cell_angle_alpha 90.00
_cell_angle_beta 90.00
_cell_angle_gamma 90.00
loop_
_atom_site_label
_atom_site_fract_x
_atom_site_fract_y
_atom_site_fract_z
Be1 0.000 0.000 0.500
Be2 0.000 0.500 0.000
Be3 0.500 0.000 0.000
Tc1 0.500 0.500 0.500
N1 0.000 0.000 0.000
# Raw total energy = -5.789 eV/atom
# Mass density = 5.2 Mg/m³

---

# 4
# GGA-PBE BeTcN2, optimized geometry
data_BeTcN2
_space_group_name_H-M_alt 'P 1'
_space_group_IT_number 1
_space_group_name_Hall 'P 1'
_cell_length_a 4.404
_cell_length_b 4.404
_cell_length_c 8.164
_cell_angle_alpha 90.00
_cell_angle_beta 90.00
_cell_angle_gamma 90.00
loop_
_atom_site_label
_atom_site_fract_x
_atom_site_fract_y
_atom_site_fract_z
Be1 0.000 0.000 0.000
Be2 0.000 0.500 0.250
Be3 0.500 0.000 0.750
Be4 0.500 0.500 0.500
Tc1 0.000 0.000 0.500
Tc2 0.000 0.500 0.750
Tc3 0.500 0.000 0.250
Tc4 0.500 0.500 0.000
N1 0.212 0.250 0.125
N2 0.250 0.712 0.375
N3 0.250 0.788 0.875
N4 0.288 0.250 0.625
N5 0.712 0.750 0.625
N6 0.750 0.212 0.875
N7 0.750 0.288 0.375
N8 0.788 0.750 0.125
# Raw total energy = -7.881 eV/atom
# Mass density = 5.7 Mg/m³

---

# 5
# GGA-PBE Be2TcN2, optimized geometry
data_Be2TcN2
_space_group_name_H-M_alt 'P 1'
_space_group_IT_number 1
_space_group_name_Hall 'P 1'
_cell_length_a 5.852
_cell_length_b 5.852
_cell_length_c 2.609
_cell_angle_alpha 90.00
_cell_angle_beta 90.00
_cell_angle_gamma 90.00
loop_
_atom_site_label
_atom_site_fract_x
_atom_site_fract_y
_atom_site_fract_z
Be1 0.150 0.350 0.000
Be2 0.350 0.850 0.000
Be3 0.650 0.150 0.000
Be4 0.850 0.650 0.000
Tc1 0.000 0.000 0.000
Tc2 0.500 0.500 0.000
N1 0.222 0.722 0.500
N2 0.278 0.222 0.500
N3 0.722 0.778 0.500
N4 0.778 0.278 0.500
# Raw total energy = -6.228 eV/atom
# Mass density = 5.4 Mg/m³

---

# 6
# GGA-PBE Be2TcN2, optimized geometry
data_Be2TcN2
_space_group_name_H-M_alt 'P 1'
_space_group_IT_number 1
_space_group_name_Hall 'P 1'
_cell_length_a 3.498
_cell_length_b 3.498
_cell_length_c 6.707
_cell_angle_alpha 90.00
_cell_angle_beta 90.00
_cell_angle_gamma 90.00
loop_
_atom_site_label
_atom_site_fract_x
_atom_site_fract_y
_atom_site_fract_z
Be1 0.000 0.000 0.171
Be2 0.000 0.000 0.829
Be3 0.500 0.500 0.329
Be4 0.500 0.500 0.671
Tc1 0.000 0.000 0.500
Tc2 0.500 0.500 0.000
N1 0.000 0.500 0.250
N2 0.000 0.500 0.750
N3 0.500 0.000 0.250
N4 0.500 0.000 0.750
# Raw total energy = -6.512 eV/atom
# Mass density = 5.8 Mg/m³

---

# 7
# GGA-PBE BeTcN, optimized geometry
data_BeTcN
_space_group_name_H-M_alt 'P 1'
_space_group_IT_number 1
_space_group_name_Hall 'P 1'
_cell_length_a 2.753
_cell_length_b 2.769
_cell_length_c 5.052
_cell_angle_alpha 74.95
_cell_angle_beta 74.81
_cell_angle_gamma 61.06
loop_
_atom_site_label
_atom_site_fract_x
_atom_site_fract_y
_atom_site_fract_z
Be1 0.000 0.000 0.000
Tc1 0.534 0.541 0.407
N1 0.112 0.114 0.667
# Raw total energy = -7.640 eV/atom
# Mass density = 6.3 Mg/m³

---

# 8
# GGA-PBE BeTcN, optimized geometry
data_BeTcN
_space_group_name_H-M_alt 'P 1'
_space_group_IT_number 1
_space_group_name_Hall 'P 1'
_cell_length_a 4.940
_cell_length_b 2.681
_cell_length_c 5.079
_cell_angle_alpha 90.00
_cell_angle_beta 117.27
_cell_angle_gamma 90.00
loop_
_atom_site_label
_atom_site_fract_x
_atom_site_fract_y
_atom_site_fract_z
Be1 0.000 0.000 0.000
Be2 0.500 0.500 0.000
Tc1 0.400 0.500 0.460
Tc2 0.900 0.000 0.460
N1 0.358 0.000 0.754
N2 0.858 0.500 0.754
# Raw total energy = -7.611 eV/atom
# Mass density = 6.7 Mg/m³